Compound: PaGaFe2O6
Source: the Alexandria database
Functional: PBE+U
Structure: optimized geometry

```
data_PaGaFe2O6
_chemical_formula_sum 'Pa1 Ga1 Fe2 O6'
_cell_length_a 5.3854
_cell_length_b 5.3926
_cell_length_c 5.7092
_cell_angle_alpha 62.08
_cell_angle_beta 62.58
_cell_angle_gamma 60.26
_symmetry_space_group_name_H-M 'P 1'
_symmetry_Int_Tables_number 1
loop_
_symmetry_equiv_pos_as_xyz
'x,y,z'
loop_
_atom_site_label
_atom_site_type_symbol
_atom_site_fract_x
_atom_site_fract_y
_atom_site_fract_z
_atom_site_occupancy
Pa1 Pa 0.0000 0.0000 0.0000 1
Ga1 Ga 0.4988 0.5027 0.4994 1
Fe1 Fe 0.2903 0.3077 0.1220 1
Fe2 Fe 0.7943 0.7972 0.6153 1
O1 O 0.1181 0.4012 0.7934 1
O2 O 0.2201 0.8751 0.3036 1
O3 O 0.4028 0.7034 0.7836 1
O4 O 0.5901 0.2331 0.2982 1
O5 O 0.7045 0.1152 0.7793 1
O6 O 0.8662 0.6038 0.3039 1
```

Results
Total magnetization: 8.00 μB per formula unit
E_tot: -7.5682 eV/atom